! Al2Ga4Mo | the Alexandria database | PBE | relaxed; values from VASP
! - VASP energy: -56.99 eV for the cell shown
! - Calculated formation energy: 276 meV per atom
! - Space group: I-42m (121)
! - DOS(E_F): 0.45 states/eV/atom
&SYSTEM
  ibrav = 0, nat = 14, ntyp = 3
/
ATOMIC_SPECIES
Al 26.98 Al.upf
Ga 69.72 Ga.upf
Mo 95.94 Mo.upf
ATOMIC_POSITIONS angstrom
Al 0.0000 3.3356 1.2791
Al 0.0000 3.3356 3.8374
Al 3.3356 0.0000 1.2791
Al 3.3356 0.0000 3.8374
Ga 1.3038 1.3038 2.5452
Ga 1.3038 5.3673 2.5713
Ga 2.0317 2.0317 5.1034
Ga 2.0317 4.6394 0.0131
Ga 4.6394 2.0317 0.0131
Ga 4.6394 4.6394 5.1034
Ga 5.3673 1.3038 2.5713
Ga 5.3673 5.3673 2.5452
Mo 0.0000 0.0000 0.0000
Mo 3.3356 3.3356 2.5583
CELL_PARAMETERS angstrom
6.6711 0.0000 0.0000
0.0000 6.6711 0.0000
0.0000 0.0000 5.1165



! AsPbBr5 | the Alexandria database | PBE | relaxed; values from VASP
! - VASP energy: -41.74 eV for the cell shown
! - Space group: P1 (1)
! - DOS(E_F): 0.00 states/eV/atom
! - Raw formation energy: -0.59 eV/atom
&SYSTEM
  ibrav = 0, nat = 14, ntyp = 3
/
ATOMIC_SPECIES
As 74.92 As.upf
Pb 207.20 Pb.upf
Br 79.90 Br.upf
ATOMIC_POSITIONS angstrom
As 0.0000 0.0000 0.0000
As -0.0788 5.3810 4.8130
Pb 3.7622 3.6790 3.4089
Pb 4.4459 2.7745 8.2222
Br -0.9081 4.7614 8.5611
Br 0.7647 4.9378 2.6191
Br 1.9569 1.4086 0.2888
Br 2.7413 0.4283 5.1154
Br 2.2188 4.1666 5.8798
Br 3.3768 5.0433 0.3210
Br 5.6962 1.9022 1.0744
Br 6.4449 0.2118 7.4245
Br 5.8649 2.7697 5.1289
Br 5.1057 6.2506 3.7561
CELL_PARAMETERS angstrom
7.4759 0.0000 0.0000
-1.9877 7.2140 0.0000
-0.3645 -0.4770 9.6151



! Dy2P2PbN6 | the Alexandria database | PBE | relaxed; values from VASP
! - VASP energy: -80.86 eV for the cell shown
! - Space group: P-1 (2)
! - Raw formation energy: -0.65 eV/atom
&SYSTEM
  ibrav = 0, nat = 11, ntyp = 4
/
ATOMIC_SPECIES
Dy 162.50 Dy.upf
P 30.97 P.upf
Pb 207.20 Pb.upf
N 14.01 N.upf
ATOMIC_POSITIONS angstrom
Dy -0.4995 0.4049 1.7664
Dy 1.7660 2.9513 3.6437
P -1.0920 3.6319 1.4380
P 2.3585 -0.2757 3.9721
Pb 1.8600 2.8029 0.0000
N -2.5603 3.4820 2.0404
N -0.9208 4.7927 0.3769
N 0.0847 2.7019 1.9417
N 1.1819 0.6543 3.4684
N 2.1873 -1.4365 5.0332
N 3.8269 -0.1258 3.3697
CELL_PARAMETERS angstrom
5.9030 0.0000 0.0000
-2.1829 5.6059 0.0000
-2.4535 -2.2497 5.4101



! MgSc2SbN | the Alexandria database | PBE | relaxed; values from VASP
! - VASP energy: -31.43 eV for the cell shown
! - Space group: P4/mmm (123)
! - DOS(E_F): 0.82 states/eV/atom
! - Raw formation energy: -0.94 eV/atom
&SYSTEM
  ibrav = 0, nat = 5, ntyp = 4
/
ATOMIC_SPECIES
Mg 24.30 Mg.upf
Sc 44.96 Sc.upf
Sb 121.76 Sb.upf
N 14.01 N.upf
ATOMIC_POSITIONS angstrom
Mg 0.0000 0.0000 0.0000
Sc 0.0000 2.2513 2.1565
Sc 2.2513 0.0000 2.1565
Sb 2.2513 2.2513 0.0000
N 0.0000 0.0000 2.1565
CELL_PARAMETERS angstrom
4.5027 0.0000 0.0000
0.0000 4.5027 0.0000
0.0000 0.0000 4.3131



What is the formula in the first record? Al2Ga4Mo